Computed, not measured: crystalline CsKMnO4 at its relaxed geometry at the PBE+U level of DFT.

POSCAR file:
```
CsKMnO4
1.0
6.7638 0.0000 0.0000
3.3819 5.8577 0.0000
3.3819 1.9526 5.5226
Cs O Mn K
1 4 1 1
Direct
0.7500 0.7500 0.7500 Cs
0.9485 0.3505 0.3505 O
0.3505 0.3505 0.3505 O
0.3505 0.9485 0.3505 O
0.3505 0.3505 0.9485 O
0.2500 0.2500 0.2500 Mn
0.5000 0.5000 0.5000 K
```

Output
Total DFT energy (no corrections), eV per atom: -5.336
M_tot, μB/atom: 0.143